Compound: Sc4ZnPd2Au
Source: Alexandria
Functional: GGA-PBE
Structure: relaxed

Values from the calculation:
The crystal system is trigonal. As for the electronic total energy: -5.77 eV per atom.

Unit cell a=4.7160 b=4.7160 c=23.3520 alpha=90.00 beta=90.00 gamma=120.00
Space group R-3m (No. 166, hexagonal axes)
Asymmetric unit:
Sc 0.0000 0.0000 0.1245 (multiplicity 6)
Sc 0.0000 0.0000 0.3752 (multiplicity 6)
Zn 0.0000 0.0000 0.0000 (multiplicity 3)
Pd 0.0000 0.0000 0.2550 (multiplicity 6)
Au 0.0000 0.0000 0.5000 (multiplicity 3)

---

Compound: Tm5CuRh2
Source: Alexandria
Functional: GGA-PBE
Structure: relaxed

Values from the calculation:
The crystal system is tetragonal. As for the electronic total energy: -5.73 eV per atom.

Unit cell a=7.526 b=7.526 c=13.081 alpha=90.00 beta=90.00 gamma=90.00
Space group I4/mcm (No. 140)
Asymmetric unit:
Tm 0.000 0.000 0.000 (multiplicity 4)
Tm 0.162 0.338 0.140 (multiplicity 16)
Cu 0.000 0.000 0.250 (multiplicity 4)
Rh 0.139 0.361 0.500 (multiplicity 8)